Here is a relaxed Ca2SnHF crystal from Alexandria via LeMat-Bulk. Energies are from PBEsol.

Its density is 3142 kg/m3. The calculation puts the total energy at -3.30 eV per atom.

It has space group P4/mmm (No. 123), with a = 5.048 Å, b = 5.048 Å, c = 4.539 Å, α = 90.00°, β = 90.00° and γ = 90.00°. The distinct sites, in fractional coordinates, are Ca at (0.000, 0.500, 0.000), Sn at (0.000, 0.000, 0.500), H at (0.500, 0.500, 0.500) and F at (0.000, 0.000, 0.000).



Here is a relaxed Ca2HfF crystal from Alexandria via LeMat-Bulk. Energies are from PBEsol.

Its density is 4235 kg/m3. The calculation puts the total energy at -3.99 eV per atom. The calculation puts the uncorrected formation energy at 0.187 eV/atom.

It has space group Fm-3m (No. 225), with a = 7.580 Å, b = 7.580 Å, c = 7.580 Å, α = 90.00°, β = 90.00° and γ = 90.00°. The distinct sites, in fractional coordinates, are Ca at (0.250, 0.250, 0.250), Hf at (0.000, 0.000, 0.000) and F at (0.000, 0.000, 0.500).



Here is a relaxed Na2CaHfF crystal from Alexandria via LeMat-Bulk. Energies are from PBEsol.

Its density is 2078 kg/m3. The calculation puts the total energy at -2.42 eV per atom. The calculation puts the uncorrected formation energy at 1.056 eV/atom.

It has space group P4/mmm (No. 123), with a = 6.246 Å, b = 6.246 Å, c = 5.808 Å, α = 90.00°, β = 90.00° and γ = 90.00°. The distinct sites, in fractional coordinates, are Na at (0.000, 0.500, 0.000), Ca at (0.000, 0.000, 0.000), Hf at (0.000, 0.000, 0.500) and F at (0.500, 0.500, 0.500).



Here is a relaxed CaHfO2F crystal from Alexandria via LeMat-Bulk. Energies are from PBEsol.

Its density is 6308 kg/m3. The calculation puts the total energy at -6.57 eV per atom. The calculation puts the uncorrected formation energy at -1.559 eV/atom.

It has space group P4/mmm (No. 123), with a = 4.246 Å, b = 4.246 Å, c = 3.935 Å, α = 90.00°, β = 90.00° and γ = 90.00°. The distinct sites, in fractional coordinates, are Ca at (0.000, 0.000, 0.000), Hf at (0.500, 0.500, 0.500), O at (0.000, 0.500, 0.000) and F at (0.000, 0.000, 0.500).



Here is a relaxed CaHfOF2 crystal from Alexandria via LeMat-Bulk. Energies are from PBEsol.

Its density is 5861 kg/m3. The calculation puts the total energy at -6.15 eV per atom. The calculation puts the uncorrected formation energy at -1.802 eV/atom.

It has space group P4/mmm (No. 123), with a = 4.089 Å, b = 4.089 Å, c = 4.620 Å, α = 90.00°, β = 90.00° and γ = 90.00°. The distinct sites, in fractional coordinates, are Ca at (0.000, 0.000, 0.000), Hf at (0.500, 0.500, 0.500), O at (0.000, 0.000, 0.500) and F at (0.000, 0.500, 0.000).



Here is a relaxed RbCaHf2F crystal from Alexandria via LeMat-Bulk. Energies are from PBEsol.

Its density is 5778 kg/m3. The calculation puts the total energy at -4.08 eV per atom. The calculation puts the uncorrected formation energy at 1.134 eV/atom.

It has space group P4/mmm (No. 123), with a = 5.586 Å, b = 5.586 Å, c = 4.618 Å, α = 90.00°, β = 90.00° and γ = 90.00°. The distinct sites, in fractional coordinates, are Rb at (0.000, 0.000, 0.000), Ca at (0.500, 0.500, 0.500), Hf at (0.000, 0.500, 0.000) and F at (0.000, 0.000, 0.500).



Here is a relaxed Ca2IF crystal from Alexandria via LeMat-Bulk. Energies are from PBEsol.

Its density is 3197 kg/m3. The calculation puts the total energy at -3.71 eV per atom. The calculation puts the uncorrected formation energy at -1.717 eV/atom.

It has space group I-42d (No. 122), with a = 6.624 Å, b = 6.624 Å, c = 10.705 Å, α = 90.00°, β = 90.00° and γ = 90.00°. The distinct sites, in fractional coordinates, are Ca at (0.151, 0.250, 0.125), I at (0.000, 0.000, 0.500) and F at (0.000, 0.000, 0.000).



Here is a relaxed CaTeI2F crystal from Alexandria via LeMat-Bulk. Energies are from PBEsol.

Its density is 3428 kg/m3. The calculation puts the total energy at -2.57 eV per atom. The calculation puts the uncorrected formation energy at -0.350 eV/atom.

It has space group P4/mmm (No. 123), with a = 5.868 Å, b = 5.868 Å, c = 6.196 Å, α = 90.00°, β = 90.00° and γ = 90.00°. The distinct sites, in fractional coordinates, are Ca at (0.000, 0.000, 0.000), Te at (0.000, 0.000, 0.500), I at (0.000, 0.500, 0.000) and F at (0.500, 0.500, 0.500).



Here is a relaxed Ca2TlIF crystal from Alexandria via LeMat-Bulk. Energies are from PBEsol.

Its density is 5360 kg/m3. The calculation puts the total energy at -3.44 eV per atom. The calculation puts the uncorrected formation energy at -1.324 eV/atom.

It has space group P4/mmm (No. 123), with a = 4.798 Å, b = 4.798 Å, c = 5.793 Å, α = 90.00°, β = 90.00° and γ = 90.00°. The distinct sites, in fractional coordinates, are Ca at (0.000, 0.500, 0.000), Tl at (0.000, 0.000, 0.500), I at (0.500, 0.500, 0.500) and F at (0.500, 0.500, 0.000).



Here is a relaxed CaZrIF2 crystal from Alexandria via LeMat-Bulk. Energies are from PBEsol.

Its density is 4189 kg/m3. The calculation puts the total energy at -5.13 eV per atom. The calculation puts the uncorrected formation energy at -1.757 eV/atom.

It has space group P4/mmm (No. 123), with a = 4.271 Å, b = 4.271 Å, c = 6.437 Å, α = 90.00°, β = 90.00° and γ = 90.00°. The distinct sites, in fractional coordinates, are Ca at (0.000, 0.000, 0.000), Zr at (0.500, 0.500, 0.500), I at (0.500, 0.500, 0.000) and F at (0.000, 0.500, 0.500).



Here is a relaxed Ca3InF crystal from Alexandria via LeMat-Bulk. Energies are from PBEsol.

Its density is 3588 kg/m3. The calculation puts the total energy at -3.60 eV per atom. The calculation puts the uncorrected formation energy at -1.341 eV/atom.

It has space group Pm-3m (No. 221), with a = 4.899 Å, b = 4.899 Å, c = 4.899 Å, α = 90.00°, β = 90.00° and γ = 90.00°. The distinct sites, in fractional coordinates, are Ca at (0.000, 0.000, 0.500), In at (0.500, 0.500, 0.500) and F at (0.000, 0.000, 0.000).



Here is a relaxed CaInF3 crystal from Alexandria via LeMat-Bulk. Energies are from PBEsol.

Its density is 4070 kg/m3. The calculation puts the total energy at -5.10 eV per atom. The calculation puts the uncorrected formation energy at -2.916 eV/atom.

It has space group Pm-3m (No. 221), with a = 4.422 Å, b = 4.422 Å, c = 4.422 Å, α = 90.00°, β = 90.00° and γ = 90.00°. The distinct sites, in fractional coordinates, are Ca at (0.000, 0.000, 0.000), In at (0.500, 0.500, 0.500) and F at (0.000, 0.000, 0.500).